Material: AcLa2Tb8
Method: DFT, PBE
State: relaxed

Properties
Energy of formation from the pure elements in kJ per mole of atoms: 15.1
Calculated volume in Å³/atom: 34.8
Raw total energy in eV/atom: -4.48

a b c (Å): 9.415 9.415 6.013
angles (deg): 105.51 105.51 121.13
Element x y z (fractional)
Ac: 0.000 0.000 0.000
La: 0.305 0.695 0.500
La: 0.695 0.305 0.500
Tb: 0.097 0.331 0.677
Tb: 0.212 0.788 0.000
Tb: 0.331 0.097 0.677
Tb: 0.436 0.436 0.209
Tb: 0.564 0.564 0.791
Tb: 0.669 0.903 0.323
Tb: 0.788 0.212 0.000
Tb: 0.903 0.669 0.323